Below is a geometry-optimized Ac3P2 structure, with properties calculated at the GGA-PBE level.

Polymorph energy (0 for the lowest one) = 0.00 kcal/mol of atoms

Cell and atoms, written as CIF:
```
data_Ac3P2
_chemical_formula_sum 'Ac9 P6'
_cell_length_a 4.3710
_cell_length_b 4.3710
_cell_length_c 32.7777
_cell_angle_alpha 90.00
_cell_angle_beta 90.00
_cell_angle_gamma 120.00
_space_group_name_H-M_alt 'R -3 m'
_space_group_IT_number 166
_space_group_name_Hall '-R 3 2"'
loop_
_atom_site_label
_atom_site_fract_x
_atom_site_fract_y
_atom_site_fract_z
_atom_site_occupancy
Ac1 0.0000 0.0000 0.0000 1
Ac2 0.0000 0.0000 0.2260 1
P1 0.0000 0.0000 0.3902 1
```

Below is a geometry-optimized Mg5Zn2Ag5 structure, with properties calculated at the GGA-PBE level.

Cell and atoms, written as CIF:
```
data_Mg5Zn2Ag5
_chemical_formula_sum 'Mg10 Zn4 Ag10'
_cell_length_a 7.983
_cell_length_b 4.655
_cell_length_c 12.319
_cell_angle_alpha 90.00
_cell_angle_beta 102.75
_cell_angle_gamma 90.00
_space_group_name_H-M_alt 'C 1 2/m 1'
_space_group_IT_number 12
loop_
_space_group_symop_operation_xyz
'x,y,z'
'-x,-y,-z'
'-x,y,-z'
'x,-y,z'
'x+1/2,y+1/2,z'
'-x+1/2,-y+1/2,-z'
'-x+1/2,y+1/2,-z'
'x+1/2,-y+1/2,z'
loop_
_atom_site_label
_atom_site_fract_x
_atom_site_fract_y
_atom_site_fract_z
_atom_site_occupancy
Mg1 0.000 0.000 0.000 1
Mg2 0.192 0.000 0.577 1
Mg3 0.227 0.500 0.172 1
Zn1 0.070 0.500 0.718 1
Ag1 0.000 0.500 0.500 1
Ag2 0.109 0.000 0.323 1
Ag3 0.145 0.500 0.937 1
```

Number 1: energy of formation from the pure elements -1109 meV per atom, DOS(E_F) 14.21 states/eV/cell. Number 2: energy of formation from the pure elements -157 meV per atom, DOS(E_F) 5.90 states/eV/cell.